The following is a DFT calculation (GGA-PBE) of an optimized crystal structure of LiPaAgPt.

a b c (Å): 6.8101 6.8101 6.8101
angles (deg): 90.00 90.00 90.00
Element x y z (fractional)
Li 0.0000 0.0000 0.0000
Li 0.0000 0.5000 0.5000
Li 0.5000 0.0000 0.5000
Li 0.5000 0.5000 0.0000
Pa 0.0000 0.0000 0.5000
Pa 0.0000 0.5000 0.0000
Pa 0.5000 0.0000 0.0000
Pa 0.5000 0.5000 0.5000
Ag 0.2500 0.2500 0.2500
Ag 0.2500 0.7500 0.7500
Ag 0.7500 0.2500 0.7500
Ag 0.7500 0.7500 0.2500
Pt 0.2500 0.2500 0.7500
Pt 0.2500 0.7500 0.2500
Pt 0.7500 0.2500 0.2500
Pt 0.7500 0.7500 0.7500

Values from the calculation:
VASP energy, eV/cell: -85.88
Formation energy from the elements, eV per atom: -0.29